Below is La2ZrGeRh after structural relaxation, with properties calculated at the PBE-GGA level.

abc: 5.641 5.641 4.989
angles: 90.00 90.00 90.00
Space group P4/mmm (No. 123)
Asymmetric unit:
La (0.000, 0.500, 0.000) x2
Zr (0.000, 0.000, 0.500) x1
Ge (0.000, 0.000, 0.000) x1
Rh (0.500, 0.500, 0.500) x1

Calculated values
For the spin magnetization, the calculation gives 0.0 μB/f.u. The calculation puts the final energy at -28.67 eV/f.u. The value obtained for the distance to the lowest polymorph of the same formula is 0 meV per atom.

Below is La2ZrGeRh after structural relaxation, with properties calculated at the PBE-GGA level.

abc: 5.561 5.561 5.005
angles: 90.00 90.00 90.00
Space group P4/mmm (No. 123)
Asymmetric unit:
La (0.000, 0.500, 0.000) x2
Zr (0.000, 0.000, 0.000) x1
Ge (0.000, 0.000, 0.500) x1
Rh (0.500, 0.500, 0.500) x1

Calculated values
For the spin magnetization, the calculation gives 0.0 μB/f.u. The calculation puts the final energy at -26.91 eV/f.u. The value obtained for the distance to the lowest polymorph of the same formula is 352 meV per atom.

Below is La3GeRu after structural relaxation, with properties calculated at the PBE-GGA level.

abc: 6.292 6.420 8.191
angles: 76.00 86.59 63.06
Space group P-1 (No. 2)
Asymmetric unit:
La (0.051, 0.167, 0.140) x2
La (0.289, 0.201, 0.653) x2
La (0.398, 0.480, 0.220) x2
Ge (0.189, 0.799, 0.493) x2
Ru (0.415, 0.859, 0.970) x2

Calculated values
For the spin magnetization, the calculation gives 0.0 μB/f.u. The calculation puts the final energy at -31.03 eV/f.u. The value obtained for the distance to the lowest polymorph of the same formula is 34 meV per atom.

Below is LaGe3Ru after structural relaxation, with properties calculated at the PBE-GGA level.

abc: 6.277 5.781 5.847
angles: 90.00 90.00 90.00
Space group Pmn2_1 (No. 31)
Asymmetric unit:
La (0.000, 0.151, 0.000) x2
Ge (0.000, 0.921, 0.536) x2
Ge (0.230, 0.329, 0.476) x4
Ru (0.000, 0.610, 0.271) x2

Calculated values
For the spin magnetization, the calculation gives 0.0 μB/f.u. The calculation puts the final energy at -30.56 eV/f.u.